The following is a DFT calculation (GGA-PBEsol) of a relaxed structure of Cd2ReRu.

Summary:
electronic total energy = -5.860 eV/atom
E above lowest polymorph = 0.26 eV per formula unit
formation energy = 237 kJ/mol of formula units
crystal system = tetragonal

abc: 4.2307 4.6793 4.2307
angles: 116.88 90.00 116.88
Fractional positions:
Cd 0.7500 0.5000 0.2500
Cd 0.0000 0.0000 0.0000
Re 0.5000 0.0000 0.5000
Ru 0.2500 0.5000 0.7500